Material: ZrSb8
Method: DFT, PBEsol
State: relaxed

Unit cell a=8.0767 b=8.0767 c=8.0767 alpha=93.26 beta=93.26 gamma=152.43
Closest atoms and distances in Å follow each position.
Positions (direct):
Zr: 0.0000 0.0000 0.0000  12 Sb 3.13-3.34
Sb: 0.0000 0.3010 0.3010  4 Sb 3.05, 1 Zr 3.34
Sb: 0.0000 0.6990 0.6990  4 Sb 3.05, 1 Zr 3.34
Sb: 0.3010 0.0000 0.3010  4 Sb 3.05, 1 Zr 3.34
Sb: 0.3425 0.3425 0.6849  4 Sb 3.05, 2 Zr 3.13
Sb: 0.3425 0.6575 0.0000  4 Sb 3.05, 2 Zr 3.13
Sb: 0.6575 0.3425 0.0000  4 Sb 3.05, 2 Zr 3.13
Sb: 0.6575 0.6575 0.3151  4 Sb 3.05, 2 Zr 3.13
Sb: 0.6990 0.0000 0.6990  4 Sb 3.05, 1 Zr 3.34

Computed properties:
E	-5.104	eV/atom
SG	I4/mmm, No. 139

---

Material: ZrSb2
Method: DFT, PBEsol
State: relaxed

Unit cell a=9.9273 b=14.8960 c=3.8746 alpha=90.00 beta=90.00 gamma=90.00
Closest atoms and distances in Å follow each position.
Positions (direct):
Zr: 0.0221 0.2487 0.0000  8 Sb 2.91-3.03
Zr: 0.1687 0.9934 0.0000  8 Sb 2.96-3.03
Zr: 0.3313 0.4934 0.5000  8 Sb 2.96-3.03
Zr: 0.4779 0.7487 0.5000  8 Sb 2.91-3.03
Zr: 0.5221 0.2513 0.5000  8 Sb 2.91-3.03
Zr: 0.6687 0.5066 0.5000  8 Sb 2.96-3.03
Zr: 0.8313 0.0066 0.0000  8 Sb 2.96-3.03
Zr: 0.9779 0.7513 0.0000  8 Sb 2.91-3.03
Sb: 0.0115 0.1029 0.5000  6 Zr 2.91-3.00, 1 Sb 3.07
Sb: 0.1164 0.4418 0.0000  3 Sb 2.89-3.07, 3 Zr 2.98-3.03
Sb: 0.1595 0.6560 0.5000  3 Zr 2.96-3.00, 2 Sb 3.10
Sb: 0.2314 0.3014 0.5000  4 Zr 2.95-3.03, 4 Sb 3.07-3.10
Sb: 0.2686 0.8014 0.0000  4 Zr 2.95-3.03, 4 Sb 3.07-3.10
Sb: 0.3405 0.1560 0.0000  3 Zr 2.96-3.00, 2 Sb 3.10
Sb: 0.3836 0.9418 0.5000  3 Sb 2.89-3.07, 3 Zr 2.98-3.03
Sb: 0.4885 0.6029 0.0000  6 Zr 2.91-3.00, 1 Sb 3.07
Sb: 0.5115 0.3971 0.0000  6 Zr 2.91-3.00, 1 Sb 3.07
Sb: 0.6164 0.0582 0.5000  3 Sb 2.89-3.07, 3 Zr 2.98-3.03
Sb: 0.6595 0.8440 0.0000  3 Zr 2.96-3.00, 2 Sb 3.10
Sb: 0.7314 0.1986 0.0000  4 Zr 2.95-3.03, 4 Sb 3.07-3.10
Sb: 0.7686 0.6986 0.5000  4 Zr 2.95-3.03, 4 Sb 3.07-3.10
Sb: 0.8405 0.3440 0.5000  3 Zr 2.96-3.00, 2 Sb 3.10
Sb: 0.8836 0.5582 0.0000  3 Sb 2.89-3.07, 3 Zr 2.98-3.03
Sb: 0.9885 0.8971 0.5000  6 Zr 2.91-3.00, 1 Sb 3.07

Computed properties:
E	-6.697	eV/atom
SG	Pnnm, No. 58

---

Material: ZrSb2
Method: DFT, PBEsol
State: relaxed

Unit cell a=5.2609 b=5.2609 c=5.8830 alpha=90.00 beta=90.00 gamma=120.00
Closest atoms and distances in Å follow each position.
Positions (direct):
Zr: 0.3333 0.6667 0.2500  5 Sb 2.94-3.04
Zr: 0.6667 0.3333 0.7500  5 Sb 2.94-3.04
Sb: 0.0000 0.0000 0.0000  2 Sb 2.94
Sb: 0.0000 0.0000 0.5000  2 Sb 2.94
Sb: 0.3333 0.6667 0.7500  5 Zr 2.94-3.04
Sb: 0.6667 0.3333 0.2500  5 Zr 2.94-3.04

Computed properties:
E	-6.351	eV/atom
SG	P6_3/mmc, No. 194

---

Material: ZrSb2
Method: DFT, PBEsol
State: relaxed

Unit cell a=5.1245 b=5.1245 c=3.0940 alpha=90.00 beta=90.00 gamma=120.00
Closest atoms and distances in Å follow each position.
Positions (direct):
Zr: 0.0000 0.0000 0.0000  6 Sb 3.08, 2 Zr 3.09
Sb: 0.3333 0.6667 0.2716  3 Zr 3.08, 8 Sb 3.09-3.40
Sb: 0.6667 0.3333 0.7284  3 Zr 3.08, 8 Sb 3.09-3.40

Computed properties:
E	-6.237	eV/atom
SG	P-3m1, No. 164

---

Material: ZrSb3
Method: DFT, PBEsol
State: relaxed

Unit cell a=6.0786 b=6.0786 c=5.2888 alpha=90.00 beta=90.00 gamma=80.47
Closest atoms and distances in Å follow each position.
Positions (direct):
Zr: 0.1917 0.8083 0.7500  11 Sb 3.06-3.29
Zr: 0.8083 0.1917 0.2500  11 Sb 3.06-3.29
Sb: 0.0850 0.3190 0.7500  3 Sb 2.90-3.22, 2 Zr 3.06-3.15
Sb: 0.3190 0.0850 0.2500  3 Sb 2.90-3.22, 2 Zr 3.06-3.15
Sb: 0.3989 0.6011 0.2500  4 Sb 2.90-3.08, 3 Zr 3.10-3.22
Sb: 0.6011 0.3989 0.7500  4 Sb 2.90-3.08, 3 Zr 3.10-3.22
Sb: 0.6810 0.9150 0.7500  3 Sb 2.90-3.22, 2 Zr 3.06-3.15
Sb: 0.9150 0.6810 0.2500  3 Sb 2.90-3.22, 2 Zr 3.06-3.15

Computed properties:
SG	Cmcm, No. 63
energy above the most stable polymorph in this dataset	0.0	meV per atom

---

Material: Zr8Sb
Method: DFT, PBEsol
State: relaxed

Unit cell a=7.1344 b=7.1344 c=7.1344 alpha=95.07 beta=95.07 gamma=145.42
Closest atoms and distances in Å follow each position.
Positions (direct):
Zr: 0.0000 0.3314 0.3314  11 Zr 3.10-3.25, 1 Sb 3.19
Zr: 0.0000 0.6686 0.6686  11 Zr 3.10-3.25, 1 Sb 3.19
Zr: 0.3314 0.0000 0.3314  11 Zr 3.10-3.25, 1 Sb 3.19
Zr: 0.3349 0.3349 0.6699  2 Sb 3.09, 10 Zr 3.10-3.23
Zr: 0.3349 0.6651 0.0000  2 Sb 3.09, 10 Zr 3.10-3.23
Zr: 0.6651 0.3349 0.0000  2 Sb 3.09, 10 Zr 3.10-3.23
Zr: 0.6651 0.6651 0.3301  2 Sb 3.09, 10 Zr 3.10-3.23
Zr: 0.6686 0.0000 0.6686  11 Zr 3.10-3.25, 1 Sb 3.19
Sb: 0.0000 0.0000 0.0000  12 Zr 3.09-3.19

Computed properties:
E	-8.785	eV/atom
SG	I4/mmm, No. 139

---

What is the formula in the sixth record?
Zr8Sb